(1)
Below is LaNdGa4Ni2 after structural relaxation, with properties calculated at the PBE-GGA level.

Geometry as CIF:
```
data_LaNdGa4Ni2
_chemical_formula_sum 'La2 Nd2 Ga8 Ni4'
_cell_length_a 4.192
_cell_length_b 4.229
_cell_length_c 17.640
_cell_angle_alpha 90.00
_cell_angle_beta 90.00
_cell_angle_gamma 90.00
_space_group_name_H-M_alt 'A m m 2'
_space_group_IT_number 38
_space_group_name_Hall 'A 2 -2'
loop_
_atom_site_label
_atom_site_type_symbol
_atom_site_fract_x
_atom_site_fract_y
_atom_site_fract_z
La1 La 0.000 0.000 0.000
Nd1 Nd 0.000 0.000 0.718
Ga1 Ga 0.000 0.000 0.358
Ga2 Ga 0.500 0.000 0.151
Ga3 Ga 0.500 0.000 0.570
Ga4 Ga 0.500 0.000 0.857
Ni1 Ni 0.500 0.000 0.286
Ni2 Ni 0.500 0.000 0.432
```

The raw total energy is -76.06 eV/cell.

=====

(2)
Below is Dy4Ni2SnGe4 after structural relaxation, with properties calculated at the PBE-GGA level.

Geometry as CIF:
```
data_Dy4Ni2SnGe4
_chemical_formula_sum 'Dy8 Ni4 Sn2 Ge8'
_cell_length_a 15.492
_cell_length_b 4.264
_cell_length_c 7.072
_cell_angle_alpha 90.00
_cell_angle_beta 108.81
_cell_angle_gamma 90.00
_space_group_name_H-M_alt 'C 1 2/m 1'
_space_group_IT_number 12
_space_group_name_Hall '-C 2y'
loop_
_atom_site_label
_atom_site_type_symbol
_atom_site_fract_x
_atom_site_fract_y
_atom_site_fract_z
Dy1 Dy 0.091 0.000 0.387
Dy2 Dy 0.155 0.000 0.939
Ni1 Ni 0.218 0.500 0.642
Sn1 Sn 0.000 0.500 0.000
Ge1 Ge 0.067 0.500 0.660
Ge2 Ge 0.206 0.500 0.275
```

The raw total energy is -121.38 eV/cell.

=====

(3)
Below is HfTc2Sb after structural relaxation, with properties calculated at the PBE-GGA level.

Geometry as CIF:
```
data_HfTc2Sb
_chemical_formula_sum 'Hf1 Tc2 Sb1'
_cell_length_a 4.510
_cell_length_b 4.510
_cell_length_c 3.345
_cell_angle_alpha 90.00
_cell_angle_beta 90.00
_cell_angle_gamma 90.00
_space_group_name_H-M_alt 'P 4/m m m'
_space_group_IT_number 123
_space_group_name_Hall '-P 4 2'
loop_
_atom_site_label
_atom_site_type_symbol
_atom_site_fract_x
_atom_site_fract_y
_atom_site_fract_z
Hf1 Hf 0.000 0.000 0.000
Tc1 Tc 0.000 0.500 0.500
Sb1 Sb 0.500 0.500 0.000
```

The raw total energy is -35.98 eV/cell.

=====

(4)
Below is Lu2Sn3W4N3 after structural relaxation, with properties calculated at the PBE-GGA level.

Geometry as CIF:
```
data_Lu2Sn3W4N3
_chemical_formula_sum 'Lu8 Sn12 W16 N12'
_cell_length_a 9.850
_cell_length_b 5.758
_cell_length_c 13.870
_cell_angle_alpha 90.00
_cell_angle_beta 103.24
_cell_angle_gamma 90.00
_space_group_name_H-M_alt 'C 1 2/c 1'
_space_group_IT_number 15
_space_group_name_Hall '-C 2yc'
loop_
_atom_site_label
_atom_site_type_symbol
_atom_site_fract_x
_atom_site_fract_y
_atom_site_fract_z
Lu1 Lu 0.055 0.084 0.403
Sn1 Sn 0.000 0.462 0.250
Sn2 Sn 0.191 0.113 0.748
W1 W 0.110 0.435 0.573
W2 W 0.216 0.405 0.924
N1 N 0.079 0.238 0.000
N2 N 0.250 0.250 0.500
```

The raw total energy is -403.18 eV/cell.

=====

(5)
Below is Si5AgPt3 after structural relaxation, with properties calculated at the PBE-GGA level.

Geometry as CIF:
```
data_Si5AgPt3
_chemical_formula_sum 'Si5 Ag1 Pt3'
_cell_length_a 5.7858
_cell_length_b 5.7858
_cell_length_c 5.8016
_cell_angle_alpha 90.00
_cell_angle_beta 90.00
_cell_angle_gamma 120.00
_space_group_name_H-M_alt 'P 6/m m m'
_space_group_IT_number 191
_space_group_name_Hall '-P 6 2'
loop_
_atom_site_label
_atom_site_type_symbol
_atom_site_fract_x
_atom_site_fract_y
_atom_site_fract_z
Si1 Si 0.0000 0.0000 0.0000
Si2 Si 0.3333 0.6667 0.3022
Ag1 Ag 0.0000 0.0000 0.5000
Pt1 Pt 0.0000 0.5000 0.0000
```

The raw total energy is -47.36 eV/cell.

=====

(6)
Below is NaNbPt after structural relaxation, with properties calculated at the PBE-GGA level.

Geometry as CIF:
```
data_NaNbPt
_chemical_formula_sum 'Na4 Nb4 Pt4'
_cell_length_a 6.280
_cell_length_b 6.280
_cell_length_c 6.280
_cell_angle_alpha 90.00
_cell_angle_beta 90.00
_cell_angle_gamma 90.00
_space_group_name_H-M_alt 'F -4 3 m'
_space_group_IT_number 216
_space_group_name_Hall 'F -4 2 3'
loop_
_atom_site_label
_atom_site_type_symbol
_atom_site_fract_x
_atom_site_fract_y
_atom_site_fract_z
Na1 Na 0.000 0.000 0.000
Nb1 Nb 0.000 0.000 0.500
Pt1 Pt 0.250 0.250 0.250
```

For the energy relative to the lowest polymorph listed for this composition, the calculation gives 0.000 eV/atom.

=====

(7)
Below is TbYIn4Pt2 after structural relaxation, with properties calculated at the PBE-GGA level.

Geometry as CIF:
```
data_TbYIn4Pt2
_chemical_formula_sum 'Tb2 Y2 In8 Pt4'
_cell_length_a 7.707
_cell_length_b 4.407
_cell_length_c 10.477
_cell_angle_alpha 90.00
_cell_angle_beta 90.00
_cell_angle_gamma 90.00
_space_group_name_H-M_alt 'A m m 2'
_space_group_IT_number 38
_space_group_name_Hall 'A 2 -2'
loop_
_atom_site_label
_atom_site_type_symbol
_atom_site_fract_x
_atom_site_fract_y
_atom_site_fract_z
Tb1 Tb 0.000 0.000 0.000
Y1 Y 0.500 0.000 0.855
In1 In 0.200 0.000 0.290
In2 In 0.300 0.000 0.565
Pt1 Pt 0.000 0.000 0.711
Pt2 Pt 0.500 0.000 0.144
```

The raw total energy is -80.24 eV/cell.

=====

(8)
Below is BaAsPtAu after structural relaxation, with properties calculated at the PBE-GGA level.

Geometry as CIF:
```
data_BaAsPtAu
_chemical_formula_sum 'Ba4 As4 Pt4 Au4'
_cell_length_a 7.195
_cell_length_b 7.195
_cell_length_c 7.195
_cell_angle_alpha 90.00
_cell_angle_beta 90.00
_cell_angle_gamma 90.00
_space_group_name_H-M_alt 'F -4 3 m'
_space_group_IT_number 216
_space_group_name_Hall 'F -4 2 3'
loop_
_atom_site_label
_atom_site_type_symbol
_atom_site_fract_x
_atom_site_fract_y
_atom_site_fract_z
Ba1 Ba 0.000 0.000 0.000
As1 As 0.250 0.250 0.250
Pt1 Pt 0.250 0.250 0.750
Au1 Au 0.000 0.000 0.500
```

For the energy relative to the lowest polymorph listed for this composition, the calculation gives 0.105 eV/atom.